1.
Here is an optimized crystal structure of Ca3V2Ge3O12 from the Alexandria database. Energies are from PBE with a Hubbard U.

a b c (Å): 10.8288 10.8288 10.8288
angles (deg): 109.47 109.47 109.47
With the nearest neighbours (Å) after each atom.
Element x y z (fractional)
Ca 0.1250 0.2500 0.3750  8 O 2.41-2.55
Ca 0.1250 0.3750 0.7500  8 O 2.41-2.55
Ca 0.2500 0.3750 0.1250  8 O 2.41-2.55
Ca 0.2500 0.8750 0.6250  8 O 2.41-2.55
Ca 0.3750 0.1250 0.2500  8 O 2.41-2.55
Ca 0.3750 0.7500 0.1250  8 O 2.41-2.55
Ca 0.6250 0.2500 0.8750  8 O 2.41-2.55
Ca 0.6250 0.8750 0.7500  8 O 2.41-2.55
Ca 0.7500 0.1250 0.3750  8 O 2.41-2.55
Ca 0.7500 0.6250 0.8750  8 O 2.41-2.55
Ca 0.8750 0.6250 0.2500  8 O 2.41-2.55
Ca 0.8750 0.7500 0.6250  8 O 2.41-2.55
V 0.0000 0.0000 0.0000  6 O 2.06
V 0.0000 0.0000 0.5000  6 O 2.06
V 0.0000 0.5000 0.0000  6 O 2.06
V 0.0000 0.5000 0.5000  6 O 2.06
V 0.5000 0.0000 0.0000  6 O 2.06
V 0.5000 0.0000 0.5000  6 O 2.06
V 0.5000 0.5000 0.0000  6 O 2.06
V 0.5000 0.5000 0.5000  6 O 2.06
Ge 0.1250 0.7500 0.8750  4 O 1.79
Ge 0.1250 0.8750 0.2500  4 O 1.79
Ge 0.2500 0.1250 0.8750  4 O 1.79
Ge 0.2500 0.6250 0.3750  4 O 1.79
Ge 0.3750 0.2500 0.6250  4 O 1.79
Ge 0.3750 0.6250 0.7500  4 O 1.79
Ge 0.6250 0.3750 0.2500  4 O 1.79
Ge 0.6250 0.7500 0.3750  4 O 1.79
Ge 0.7500 0.3750 0.6250  4 O 1.79
Ge 0.7500 0.8750 0.1250  4 O 1.79
Ge 0.8750 0.1250 0.7500  4 O 1.79
Ge 0.8750 0.2500 0.1250  4 O 1.79
O 0.0172 0.2035 0.1188  1 Ge 1.79
O 0.0172 0.3137 0.8984  1 Ge 1.79
O 0.0847 0.7035 0.6863  1 Ge 1.79
O 0.0847 0.8812 0.3984  1 Ge 1.79
O 0.1016 0.6188 0.4153  1 Ge 1.79
O 0.1016 0.9828 0.6863  1 Ge 1.79
O 0.1188 0.0172 0.2035  1 Ge 1.79
O 0.1188 0.6016 0.9153  1 Ge 1.79
O 0.1863 0.2035 0.5847  1 Ge 1.79
O 0.1863 0.4828 0.6016  1 Ge 1.79
O 0.2035 0.1188 0.0172  1 Ge 1.79
O 0.2035 0.5847 0.1863  1 Ge 1.79
O 0.2965 0.3137 0.9153  1 Ge 1.79
O 0.2965 0.4828 0.3812  1 Ge 1.79
O 0.3137 0.8984 0.0172  1 Ge 1.79
O 0.3137 0.9153 0.2965  1 Ge 1.79
O 0.3812 0.2965 0.4828  1 Ge 1.79
O 0.3812 0.5847 0.8984  1 Ge 1.79
O 0.3984 0.0847 0.8812  1 Ge 1.79
O 0.3984 0.8137 0.5172  1 Ge 1.79
O 0.4153 0.1016 0.6188  1 Ge 1.79
O 0.4153 0.8137 0.7965  1 Ge 1.79
O 0.4828 0.3812 0.2965  1 Ge 1.79
O 0.4828 0.6016 0.1863  1 Ge 1.79
O 0.5172 0.3984 0.8137  1 Ge 1.79
O 0.5172 0.6188 0.7035  1 Ge 1.79
O 0.5847 0.1863 0.2035  1 Ge 1.79
O 0.5847 0.8984 0.3812  1 Ge 1.79
O 0.6016 0.1863 0.4828  1 Ge 1.79
O 0.6016 0.9153 0.1188  1 Ge 1.79
O 0.6188 0.4153 0.1016  1 Ge 1.79
O 0.6188 0.7035 0.5172  1 Ge 1.79
O 0.6863 0.0847 0.7035  1 Ge 1.79
O 0.6863 0.1016 0.9828  1 Ge 1.79
O 0.7035 0.5172 0.6188  1 Ge 1.79
O 0.7035 0.6863 0.0847  1 Ge 1.79
O 0.7965 0.4153 0.8137  1 Ge 1.79
O 0.7965 0.8812 0.9828  1 Ge 1.79
O 0.8137 0.5172 0.3984  1 Ge 1.79
O 0.8137 0.7965 0.4153  1 Ge 1.79
O 0.8812 0.3984 0.0847  1 Ge 1.79
O 0.8812 0.9828 0.7965  1 Ge 1.79
O 0.8984 0.0172 0.3137  1 Ge 1.79
O 0.8984 0.3812 0.5847  1 Ge 1.79
O 0.9153 0.1188 0.6016  1 Ge 1.79
O 0.9153 0.2965 0.3137  1 Ge 1.79
O 0.9828 0.6863 0.1016  1 Ge 1.79
O 0.9828 0.7965 0.8812  1 Ge 1.79

Properties
final energy: -6.981 eV/atom
DOS at the Fermi energy: 46.4 states/eV/cell
magnetic moment: 16.0 μB per cell

=====

2.
Here is an optimized crystal structure of CaVGeO6 from the Alexandria database. Energies are from PBE with a Hubbard U.

a b c (Å): 5.0542 5.0542 10.0585
angles (deg): 90.00 90.00 120.00
With the nearest neighbours (Å) after each atom.
Element x y z (fractional)
Ca 0.0000 0.0000 0.0000  6 O 2.39
Ca 0.0000 0.0000 0.5000  6 O 2.39
V 0.3333 0.6667 0.2500  6 O 1.90
V 0.6667 0.3333 0.7500  6 O 1.90
Ge 0.3333 0.6667 0.7500  6 O 1.91
Ge 0.6667 0.3333 0.2500  6 O 1.91
O 0.0018 0.3747 0.1458  1 V 1.90, 1 Ge 1.91
O 0.0018 0.6271 0.3542  1 V 1.90, 1 Ge 1.91
O 0.3729 0.3747 0.3542  1 V 1.90, 1 Ge 1.91
O 0.3729 0.9982 0.1458  1 V 1.90, 1 Ge 1.91
O 0.3747 0.0018 0.6458  1 V 1.90, 1 Ge 1.91
O 0.3747 0.3729 0.8542  1 V 1.90, 1 Ge 1.91
O 0.6253 0.6271 0.1458  1 V 1.90, 1 Ge 1.91
O 0.6253 0.9982 0.3542  1 V 1.90, 1 Ge 1.91
O 0.6271 0.0018 0.8542  1 V 1.90, 1 Ge 1.91
O 0.6271 0.6253 0.6458  1 V 1.90, 1 Ge 1.91
O 0.9982 0.3729 0.6458  1 V 1.90, 1 Ge 1.91
O 0.9982 0.6253 0.8542  1 V 1.90, 1 Ge 1.91

Properties
final energy: -6.735 eV/atom
DOS at the Fermi energy: 11.5 states/eV/cell
magnetic moment: 2.1 μB per cell

=====

3.
Here is an optimized crystal structure of CaVGe4O12 from the Alexandria database. Energies are from PBE with a Hubbard U.

a b c (Å): 7.3134 5.7167 5.7167
angles (deg): 111.84 90.00 90.00
With the nearest neighbours (Å) after each atom.
Element x y z (fractional)
Ca 0.0000 0.0000 0.0000  8 O 2.44-2.73
V 0.5000 0.3598 0.3598  4 O 1.67-1.86
Ge 0.2352 0.4308 0.7985  5 O 1.80-2.01
Ge 0.2352 0.7985 0.4308  5 O 1.80-2.01
Ge 0.7648 0.4308 0.7985  5 O 1.80-2.01
Ge 0.7648 0.7985 0.4308  5 O 1.80-2.01
O 0.0000 0.3796 0.8998  2 Ge 1.87
O 0.0000 0.8998 0.3796  2 Ge 1.87
O 0.1754 0.6065 0.6065  2 Ge 1.80
O 0.2612 0.0895 0.7012  2 Ge 1.81-1.83
O 0.2612 0.7012 0.0895  2 Ge 1.81-1.83
O 0.3105 0.2138 0.2138  1 V 1.67
O 0.5000 0.4114 0.7012  1 V 1.86, 2 Ge 2.01
O 0.5000 0.7012 0.4114  1 V 1.86, 2 Ge 2.01
O 0.6895 0.2138 0.2138  1 V 1.67
O 0.7388 0.0895 0.7012  2 Ge 1.81-1.83
O 0.7388 0.7012 0.0895  2 Ge 1.81-1.83
O 0.8246 0.6065 0.6065  2 Ge 1.80

Properties
final energy: -6.399 eV/atom
DOS at the Fermi energy: 5.2 states/eV/cell
magnetic moment: 1.1 μB per cell

=====

4.
Here is an optimized crystal structure of CaV4Ge4O16 from the Alexandria database. Energies are from PBE with a Hubbard U.

a b c (Å): 5.1262 5.5599 11.2188
angles (deg): 95.94 93.31 99.95
With the nearest neighbours (Å) after each atom.
Element x y z (fractional)
Ca 0.0000 0.0000 0.0000  6 O 2.29-2.50
V 0.2115 0.4057 0.5073  3 O 1.81-1.94
V 0.2324 0.8704 0.3815  5 O 1.98-2.17
V 0.4624 0.1273 0.7768  4 O 1.79-2.00
V 0.7988 0.4669 0.0271  4 O 1.87-2.09
Ge 0.0193 0.4368 0.7529  5 O 1.75-1.93
Ge 0.3600 0.6672 0.1424  4 O 1.75-1.81
Ge 0.6617 0.4079 0.3113  4 O 1.71-1.82
Ge 0.7636 0.8733 0.6033  5 O 1.83-2.00
O 0.0000 0.0298 0.4866  2 V 1.98-2.16, 1 Ge 2.00
O 0.1346 0.1689 0.8260  1 V 1.84, 1 Ge 1.93
O 0.1396 0.3968 0.0869  1 Ge 1.75, 1 V 1.95
O 0.1457 0.8673 0.1960  1 Ge 1.78
O 0.3061 0.3699 0.6611  1 V 1.81, 1 Ge 1.91
O 0.4390 0.2407 0.4069  1 Ge 1.82, 1 V 1.94
O 0.4537 0.7373 0.5050  1 Ge 1.88, 2 V 2.02-2.04
O 0.5268 0.6836 0.2901  2 Ge 1.81-1.82
O 0.5396 0.8300 0.7333  1 V 1.79, 1 Ge 1.92
O 0.6060 0.7358 0.0429  1 Ge 1.75, 1 V 1.93
O 0.6474 0.1905 0.9208  2 V 1.79-1.87
O 0.6530 0.2745 0.1664  1 Ge 1.71
O 0.7481 0.2076 0.6656  2 Ge 1.87-1.93, 1 V 2.00
O 0.9757 0.6477 0.6294  2 Ge 1.83-1.93
O 0.9800 0.6247 0.8834  1 Ge 1.75
O 0.9898 0.5110 0.3867  1 Ge 1.81, 1 V 1.92

Properties
final energy: -6.948 eV/atom
DOS at the Fermi energy: 0.8 states/eV/cell
magnetic moment: 6.0 μB per cell

=====

5.
Here is an optimized crystal structure of CaVGe2O6 from the Alexandria database. Energies are from PBE with a Hubbard U.

a b c (Å): 6.9349 6.9349 5.5100
angles (deg): 100.50 100.50 83.47
With the nearest neighbours (Å) after each atom.
Element x y z (fractional)
Ca 0.1999 0.8001 0.7500  6 O 2.35-2.59
Ca 0.8001 0.1999 0.2500  6 O 2.35-2.59
V 0.4094 0.5906 0.2500  6 O 2.15-2.22
V 0.5906 0.4094 0.7500  6 O 2.15-2.22
Ge 0.1157 0.3095 0.7763  4 O 1.73-1.84
Ge 0.3095 0.1157 0.2763  4 O 1.73-1.84
Ge 0.6905 0.8843 0.7237  4 O 1.73-1.84
Ge 0.8843 0.6905 0.2237  4 O 1.73-1.84
O 0.1052 0.1803 0.0329  2 Ge 1.82-1.84
O 0.1214 0.6129 0.3499  1 Ge 1.73
O 0.1803 0.1052 0.5329  2 Ge 1.82-1.84
O 0.2953 0.4791 0.8609  1 Ge 1.75
O 0.3871 0.8786 0.1501  1 Ge 1.73
O 0.4791 0.2953 0.3609  1 Ge 1.75
O 0.5209 0.7047 0.6391  1 Ge 1.75
O 0.6129 0.1214 0.8499  1 Ge 1.73
O 0.7047 0.5209 0.1391  1 Ge 1.75
O 0.8197 0.8948 0.4671  2 Ge 1.82-1.84
O 0.8786 0.3871 0.6501  1 Ge 1.73
O 0.8948 0.8197 0.9671  2 Ge 1.82-1.84

Properties
final energy: -6.877 eV/atom
DOS at the Fermi energy: 2.3 states/eV/cell
magnetic moment: 6.0 μB per cell

=====

6.
Here is an optimized crystal structure of CaGe2WO6 from the Alexandria database. Energies are from PBE with a Hubbard U.

a b c (Å): 8.6581 8.6581 5.3820
angles (deg): 98.22 98.22 60.20
With the nearest neighbours (Å) after each atom.
Element x y z (fractional)
Ca 0.1539 0.8461 0.7500  8 O 2.41-2.63
Ca 0.8461 0.1539 0.2500  8 O 2.41-2.63
Ge 0.0698 0.2765 0.7807  3 O 1.91-1.98
Ge 0.2765 0.0698 0.2807  3 O 1.91-1.98
Ge 0.7235 0.9302 0.7193  3 O 1.91-1.98
Ge 0.9302 0.7235 0.2193  3 O 1.91-1.98
W 0.4089 0.5911 0.2500  6 O 1.87-2.04
W 0.5911 0.4089 0.7500  6 O 1.87-2.04
O 0.0777 0.1299 0.0205  2 Ge 1.91-1.96
O 0.1299 0.0777 0.5205  2 Ge 1.91-1.96
O 0.1829 0.6511 0.3365  1 W 1.87, 1 Ge 1.98
O 0.3489 0.8171 0.1635  1 W 1.87, 1 Ge 1.98
O 0.3506 0.5223 0.8982  2 W 1.97-2.04
O 0.4777 0.6494 0.6018  2 W 1.97-2.04
O 0.5223 0.3506 0.3982  2 W 1.97-2.04
O 0.6494 0.4777 0.1018  2 W 1.97-2.04
O 0.6511 0.1829 0.8365  1 W 1.87, 1 Ge 1.98
O 0.8171 0.3489 0.6635  1 W 1.87, 1 Ge 1.98
O 0.8701 0.9223 0.4795  2 Ge 1.91-1.96
O 0.9223 0.8701 0.9795  2 Ge 1.91-1.96

Properties
final energy: -6.758 eV/atom
DOS at the Fermi energy: 0.0 states/eV/cell
magnetic moment: 0.0 μB per cell

=====

7.
Here is an optimized crystal structure of CaGeWO6 from the Alexandria database. Energies are from PBE with a Hubbard U.

a b c (Å): 5.1422 5.1422 10.1657
angles (deg): 90.00 90.00 120.00
With the nearest neighbours (Å) after each atom.
Element x y z (fractional)
Ca 0.0000 0.0000 0.0000  6 O 2.42
Ca 0.0000 0.0000 0.5000  6 O 2.42
Ge 0.3333 0.6667 0.2500  6 O 1.93
Ge 0.6667 0.3333 0.7500  6 O 1.93
W 0.3333 0.6667 0.7500  6 O 1.96
W 0.6667 0.3333 0.2500  6 O 1.96
O 0.0045 0.3769 0.1446  1 Ge 1.93, 1 W 1.96
O 0.0045 0.6276 0.3554  1 Ge 1.93, 1 W 1.96
O 0.3724 0.3769 0.3554  1 Ge 1.93, 1 W 1.96
O 0.3724 0.9955 0.1446  1 Ge 1.93, 1 W 1.96
O 0.3769 0.0045 0.6446  1 Ge 1.93, 1 W 1.96
O 0.3769 0.3724 0.8554  1 Ge 1.93, 1 W 1.96
O 0.6231 0.6276 0.1446  1 Ge 1.93, 1 W 1.96
O 0.6231 0.9955 0.3554  1 Ge 1.93, 1 W 1.96
O 0.6276 0.0045 0.8554  1 Ge 1.93, 1 W 1.96
O 0.6276 0.6231 0.6446  1 Ge 1.93, 1 W 1.96
O 0.9955 0.3724 0.6446  1 Ge 1.93, 1 W 1.96
O 0.9955 0.6231 0.8554  1 Ge 1.93, 1 W 1.96

Properties
final energy: -7.023 eV/atom
DOS at the Fermi energy: 0.0 states/eV/cell
magnetic moment: 0.0 μB per cell

=====

8.
Here is an optimized crystal structure of CaGe2WO8 from the Alexandria database. Energies are from PBE with a Hubbard U.

a b c (Å): 5.7389 5.7389 5.7389
angles (deg): 106.91 106.91 114.72
With the nearest neighbours (Å) after each atom.
Element x y z (fractional)
Ca 0.0000 0.0000 0.0000  8 O 2.25-2.44
Ge 0.2500 0.7500 0.5000  4 O 1.77
Ge 0.5000 0.5000 0.0000  4 O 1.78
W 0.7500 0.2500 0.5000  8 O 2.07-2.14
O 0.0380 0.3648 0.3268  1 Ge 1.77
O 0.0380 0.7112 0.6732  1 Ge 1.77
O 0.1179 0.3226 0.7953  1 Ge 1.78
O 0.2888 0.9620 0.3268  1 Ge 1.77
O 0.5273 0.3226 0.2047  1 Ge 1.78
O 0.6352 0.9620 0.6732  1 Ge 1.77
O 0.6774 0.4727 0.7953  1 Ge 1.78
O 0.6774 0.8821 0.2047  1 Ge 1.78

Properties
final energy: -6.684 eV/atom
DOS at the Fermi energy: 0.0 states/eV/cell
magnetic moment: 0.0 μB per cell